The following is a PBE calculation of Li2CuAs2Ir after structural relaxation, from the Open Quantum Materials Database.

Structure (CIF):
```
data_Li2CuAs2Ir
_space_group_name_H-M_alt 'P -4 m 2'
_space_group_IT_number 115
_space_group_name_Hall 'P -4 -2'
_cell_length_a 3.910
_cell_length_b 3.910
_cell_length_c 6.206
_cell_angle_alpha 90.00
_cell_angle_beta 90.00
_cell_angle_gamma 90.00
loop_
_atom_site_label
_atom_site_type_symbol
_atom_site_fract_x
_atom_site_fract_y
_atom_site_fract_z
_atom_site_occupancy
Li1 Li 0.000 0.500 0.175 1
Cu1 Cu 0.000 0.000 0.500 1
As1 As 0.000 0.500 0.753 1
Ir1 Ir 0.500 0.500 0.500 1
```

Properties
The spin magnetization is 0.00 Bohr magnetons per cell. Its total energy is -27.89 eV/cell.